Computed, not measured: a relaxed structure of SrCrOs2 at the PBE level of DFT.

M_tot (μB per atom): 0.706
DFT formation energy (eV/atom): 1.083
Calculated total energy (eV/atom): -7.358

Cell: 3.0007 4.7639 4.8746 Å, 90.00 90.00 90.00°
Element x y z (fractional)
Sr1 0.0000 0.0000 0.0000
Cr1 0.5000 0.5000 0.0000
Os1 0.0000 0.5000 0.5000
Os2 0.5000 0.0000 0.5000